Density functional theory data (PBE) for a geometry-optimized SrBe2Se2 structure.

## Properties
Polymorph energy (0 for the lowest one): 0 meV/atom
M_tot: 0.0 μB/f.u.
E_tot: -18.0 eV for the cell shown

a = 4.322 Å, b = 4.322 Å, c = 6.109 Å
α = 69.28°, β = 69.28°, γ = 90.00°
Fractional coordinates of all 5 atoms:
Sr 0.000 0.000 0.000
Se 0.340 0.340 0.320
Se 0.660 0.660 0.680
Be 0.750 0.250 0.500
Be 0.250 0.750 0.500

Density functional theory data (PBE) for a geometry-optimized Li2TaW structure.

## Properties
Polymorph energy (0 for the lowest one): 185 meV/atom
M_tot: 0.0 μB/f.u.
E_tot: -26.9 eV for the cell shown
Formation enthalpy at 0 K: 0.42 eV/atom

a = 5.739 Å, b = 5.739 Å, c = 5.739 Å
α = 149.90°, β = 135.13°, γ = 54.98°
Fractional coordinates of all 4 atoms:
Li 0.006 0.006 0.000
Li 0.494 0.494 0.000
Ta 0.750 0.250 0.500
W 0.250 0.750 0.500

Density functional theory data (PBE) for a geometry-optimized ThHg2Au structure.

## Properties
Polymorph energy (0 for the lowest one): 597 meV/atom
M_tot: 0.0 μB/f.u.
E_tot: -10.4 eV for the cell shown
Formation enthalpy at 0 K: 0.22 eV/atom

a = 3.361 Å, b = 3.361 Å, c = 11.023 Å
α = 81.23°, β = 81.23°, γ = 60.00°
Fractional coordinates of all 4 atoms:
Au 0.500 0.500 0.500
Hg 0.097 0.097 0.709
Hg 0.903 0.903 0.291
Th 0.000 0.000 0.000

Density functional theory data (PBE) for a geometry-optimized LiV2Sb2 structure.

## Properties
Polymorph energy (0 for the lowest one): 0 meV/atom
M_tot: 0.0 μB/f.u.
E_tot: -57.0 eV for the cell shown

a = 7.653 Å, b = 7.653 Å, c = 3.250 Å
α = 90.00°, β = 90.00°, γ = 90.00°
Fractional coordinates of all 10 atoms:
Sb 0.328 0.828 0.000
Sb 0.828 0.672 0.000
Sb 0.672 0.172 0.000
Sb 0.172 0.328 0.000
V 0.113 0.613 0.500
V 0.613 0.887 0.500
V 0.887 0.387 0.500
V 0.387 0.113 0.500
Li 0.000 0.000 0.000
Li 0.500 0.500 0.000

Density functional theory data (PBE) for a geometry-optimized PuSnHgPd structure.

## Properties
M_tot: 5.5 μB/f.u.
E_tot: -25.0 eV for the cell shown
Formation enthalpy at 0 K: -0.30 eV/atom

a = 5.030 Å, b = 5.030 Å, c = 5.030 Å
α = 60.00°, β = 60.00°, γ = 60.00°
Fractional coordinates of all 4 atoms:
Pd 0.750 0.750 0.750
Hg 0.250 0.250 0.250
Sn 0.000 0.000 0.000
Pu 0.500 0.500 0.500

Density functional theory data (PBE) for a geometry-optimized Zr2PbCSe structure.

## Properties
M_tot: 0.0 μB/f.u.
E_tot: -21.6 eV for the cell shown

a = 5.499 Å, b = 5.188 Å, c = 5.499 Å
α = 90.00°, β = 90.00°, γ = 90.00°
Fractional coordinates of all 5 atoms:
Pb 0.000 0.000 0.000
C 0.500 0.500 0.500
Se 0.000 0.500 0.000
Zr 0.000 0.000 0.500
Zr 0.500 0.000 0.000

Q: Which of these has the lowest E_tot?
A: LiV2Sb2

Q: Look up the E_tot of the first one.
A: -18.0 eV for the cell shown

Q: The lowest E_tot belongs to which entry?
A: LiV2Sb2